Record 1
An optimized crystal structure of La5Nd3Y3, computed with PBE-GGA.

The structure belongs to space group P-62m (No. 189); the cell edges are 11.5482, 11.5482 and 3.4947 Å and the angles 90.00°, 90.00° and 120.00°. The distinct sites, in fractional coordinates, are La at (0.0000, 0.3378, 0.0000), La at (0.3333, 0.6667, 0.0000), Nd at (0.0000, 0.5962, 0.5000) and Y at (0.0000, 0.8394, 0.0000).

The total energy comes out at -55.13 eV per formula unit.

Record 2
An optimized crystal structure of TmMn6Fe3, computed with PBE-GGA.

The structure belongs to space group P1 (No. 1); the cell edges are 4.745, 4.810 and 6.615 Å and the angles 87.43°, 72.45° and 63.14°. The distinct sites, in fractional coordinates, are Tm at (0.000, 0.000, 0.000), Mn at (0.110, 0.453, 0.731), Mn at (0.336, 0.802, 0.536), Mn at (0.465, 0.237, 0.394), Mn at (0.612, 0.474, 0.771), Mn at (0.634, 0.974, 0.737), Mn at (0.931, 0.233, 0.418), Fe at (0.290, 0.350, 0.077), Fe at (0.588, 0.692, 0.146) and Fe at (0.950, 0.714, 0.383).

The total energy comes out at -83.70 eV per formula unit.

Record 3
An optimized crystal structure of SrBe2NbSn, computed with PBE-GGA.

The structure belongs to space group P4/mmm (No. 123); the cell edges are 4.764, 4.764 and 5.395 Å and the angles 90.00°, 90.00° and 90.00°. The distinct sites, in fractional coordinates, are Sr at (0.000, 0.000, 0.000), Be at (0.000, 0.500, 0.500), Nb at (0.000, 0.000, 0.500) and Sn at (0.500, 0.500, 0.000).

The total energy comes out at -17.08 eV per formula unit.

Record 4
An optimized crystal structure of PrAgGe2, computed with PBE-GGA.

The structure belongs to space group Pnma (No. 62); the cell edges are 7.931, 4.098 and 10.796 Å and the angles 90.00°, 90.00° and 90.00°. The distinct sites, in fractional coordinates, are Pr at (0.138, 0.250, 0.137), Ag at (0.012, 0.750, 0.400), Ge at (0.155, 0.250, 0.810) and Ge at (0.246, 0.250, 0.435).

The total energy comes out at -18.74 eV per formula unit.

Record 5
An optimized crystal structure of Be3FeSi, computed with PBE-GGA.

The structure belongs to space group Pm-3m (No. 221); the cell edges are 4.088, 4.088 and 4.088 Å and the angles 90.00°, 90.00° and 90.00°. The distinct sites, in fractional coordinates, are Be at (0.000, 0.000, 0.500), Fe at (0.500, 0.500, 0.500) and Si at (0.000, 0.000, 0.000).

The total energy comes out at -19.59 eV per formula unit. The value obtained for the formation energy without anion corrections is 528 kJ/mol of formula units.

Record 6
An optimized crystal structure of ZnNi7Rh2, computed with PBE-GGA.

The structure belongs to space group Cmmm (No. 65); the cell edges are 6.351, 12.338 and 3.868 Å and the angles 90.00°, 90.00° and 90.00°. The distinct sites, in fractional coordinates, are Zn at (0.000, 0.000, 0.000), Ni at (0.000, 0.191, 0.000), Ni at (0.000, 0.500, 0.500), Ni at (0.183, 0.100, 0.500) and Rh at (0.000, 0.297, 0.500).

The total energy comes out at -51.09 eV per formula unit.

Record 7
An optimized crystal structure of La4TlGaN, computed with PBE-GGA.

The structure belongs to space group Cmcm (No. 63); the cell edges are 7.067, 16.535 and 7.090 Å and the angles 90.00°, 90.00° and 90.00°. The distinct sites, in fractional coordinates, are La at (0.000, 0.068, 0.250), La at (0.000, 0.414, 0.250), La at (0.250, 0.250, 0.000), Tl at (0.000, 0.388, 0.750), Ga at (0.000, 0.119, 0.750) and N at (0.000, 0.268, 0.250).

The total energy comes out at -38.01 eV per formula unit. The value obtained for the formation energy without anion corrections is -442 kJ/mol of formula units.

Record 8
An optimized crystal structure of CaAlPb2, computed with PBE-GGA.

The structure belongs to space group P4mm (No. 99); the cell edges are 3.992, 3.992 and 7.082 Å and the angles 90.00°, 90.00° and 90.00°. The distinct sites, in fractional coordinates, are Ca at (0.000, 0.000, 0.000), Al at (0.500, 0.500, 0.732), Pb at (0.000, 0.000, 0.535) and Pb at (0.500, 0.500, 0.284).

The total energy comes out at -13.51 eV per formula unit.

Record 9
An optimized crystal structure of CoSiTc2, computed with PBE-GGA.

The structure belongs to space group Cmmm (No. 65); the cell edges are 5.014, 7.514 and 2.771 Å and the angles 90.00°, 90.00° and 90.00°. The distinct sites, in fractional coordinates, are Co at (0.000, 0.000, 0.000), Si at (0.000, 0.500, 0.000) and Tc at (0.250, 0.250, 0.500).

The total energy comes out at -33.48 eV per formula unit. The value obtained for the formation energy without anion corrections is -21 kJ/mol of formula units.

Record 10
An optimized crystal structure of Tb12PrHo5, computed with PBE-GGA.

The structure belongs to space group Cmmm (No. 65); the cell edges are 15.085, 15.103 and 5.030 Å and the angles 90.00°, 90.00° and 90.00°. The distinct sites, in fractional coordinates, are Tb at (0.166, 0.000, 0.000), Tb at (0.166, 0.166, 0.500), Tb at (0.167, 0.332, 0.000), Tb at (0.168, 0.500, 0.500), Pr at (0.000, 0.500, 0.000), Ho at (0.000, 0.000, 0.500), Ho at (0.000, 0.167, 0.000) and Ho at (0.000, 0.332, 0.500).

The total energy comes out at -82.91 eV per formula unit.

Record 11
An optimized crystal structure of Ho2TePd, computed with PBE-GGA.

The structure belongs to space group R3m (No. 160, hexagonal axes); the cell edges are 4.1602, 4.1602 and 21.7242 Å and the angles 90.00°, 90.00° and 120.00°. The distinct sites, in fractional coordinates, are Ho at (0.0000, 0.0000, 0.0000), Ho at (0.0000, 0.0000, 0.1937), Te at (0.0000, 0.0000, 0.4297) and Pd at (0.0000, 0.0000, 0.5961).

The total energy comes out at -21.69 eV per formula unit. The value obtained for the formation energy without anion corrections is -405 kJ/mol of formula units.

Record 12
An optimized crystal structure of ZrTl2Cl, computed with PBE-GGA.

The structure belongs to space group P2/m (No. 10); the cell edges are 5.495, 3.334 and 5.900 Å and the angles 90.00°, 112.09° and 90.00°. The distinct sites, in fractional coordinates, are Zr at (0.000, 0.000, 0.000), Tl at (0.500, 0.000, 0.500), Tl at (0.500, 0.500, 0.000) and Cl at (0.000, 0.500, 0.500).

The total energy comes out at -15.45 eV per formula unit. The value obtained for the formation energy without anion corrections is -31 kJ/mol of formula units.

Record 13
An optimized crystal structure of CeLuSnPd, computed with PBE-GGA.

The structure belongs to space group F-43m (No. 216); the cell edges are 7.343, 7.343 and 7.343 Å and the angles 90.00°, 90.00° and 90.00°. The distinct sites, in fractional coordinates, are Ce at (0.000, 0.000, 0.000), Lu at (0.000, 0.000, 0.500), Sn at (0.250, 0.250, 0.750) and Pd at (0.250, 0.250, 0.250).

The total energy comes out at -22.10 eV per formula unit.

Record 14
An optimized crystal structure of ZrMoOs, computed with PBE-GGA.

The structure belongs to space group F-43m (No. 216); the cell edges are 6.248, 6.248 and 6.248 Å and the angles 90.00°, 90.00° and 90.00°. The distinct sites, in fractional coordinates, are Zr at (0.000, 0.000, 0.000), Mo at (0.250, 0.250, 0.750) and Os at (0.250, 0.250, 0.250).

The total energy comes out at -27.26 eV per formula unit.

Record 15
An optimized crystal structure of Cu5Ag4, computed with PBE-GGA.

The structure belongs to space group I4/mmm (No. 139); the cell edges are 8.437, 8.437 and 3.721 Å and the angles 90.00°, 90.00° and 90.00°. The distinct sites, in fractional coordinates, are Cu at (0.000, 0.000, 0.000), Cu at (0.160, 0.160, 0.500) and Ag at (0.000, 0.320, 0.000).

The total energy comes out at -31.03 eV per formula unit.

Record 16
An optimized crystal structure of Cs2U3Se8, computed with PBE-GGA.

The structure belongs to space group C2/m (No. 12); the cell edges are 17.448, 8.452 and 7.259 Å and the angles 90.00°, 107.04° and 90.00°. The distinct sites, in fractional coordinates, are Cs at (0.235, 0.000, 0.171), U at (0.000, 0.244, 0.500), U at (0.000, 0.500, 0.000), Se at (0.088, 0.272, 0.882), Se at (0.089, 0.500, 0.396) and Se at (0.097, 0.000, 0.457).

The total energy comes out at -78.85 eV per formula unit. The value obtained for the formation energy without anion corrections is -1486 kJ/mol of formula units.

Record 17
An optimized crystal structure of TcRh2, computed with PBE-GGA.

The structure belongs to space group P-3m1 (No. 164); the cell edges are 2.7189, 2.7189 and 6.6962 Å and the angles 90.00°, 90.00° and 120.00°. The distinct sites, in fractional coordinates, are Tc at (0.0000, 0.0000, 0.0000) and Rh at (0.3333, 0.6667, 0.6741).

The total energy comes out at -25.28 eV per formula unit.

Record 18
An optimized crystal structure of AgRu2Br, computed with PBE-GGA.

The structure belongs to space group Cmm2 (No. 35); the cell edges are 2.862, 4.972 and 9.905 Å and the angles 90.00°, 90.00° and 90.00°. The distinct sites, in fractional coordinates, are Ag at (0.000, 0.000, 0.000), Ru at (0.000, 0.000, 0.459), Ru at (0.000, 0.500, 0.249) and Br at (0.000, 0.500, 0.702).

The total energy comes out at -20.27 eV per formula unit. The value obtained for the formation energy without anion corrections is 271 kJ/mol of formula units.

Record 19
An optimized crystal structure of IrS2NCl, computed with PBE-GGA.

The structure belongs to space group P4/mmm (No. 123); the cell edges are 4.204, 4.204 and 3.981 Å and the angles 90.00°, 90.00° and 90.00°. The distinct sites, in fractional coordinates, are Ir at (0.000, 0.000, 0.000), S at (0.000, 0.500, 0.500), N at (0.500, 0.500, 0.500) and Cl at (0.500, 0.500, 0.000).

The total energy comes out at -19.30 eV per formula unit. The value obtained for the formation energy without anion corrections is 771 kJ/mol of formula units.

Record 20
An optimized crystal structure of AcGa3PdPt, computed with PBE-GGA.

The structure belongs to space group Cmcm (No. 63); the cell edges are 6.615, 12.561 and 6.517 Å and the angles 90.00°, 90.00° and 90.00°. The distinct sites, in fractional coordinates, are Ac at (0.000, 0.237, 0.250), Ga at (0.000, 0.205, 0.750), Ga at (0.210, 0.500, 0.000), Pd at (0.000, 0.016, 0.750) and Pt at (0.000, 0.392, 0.750).

The total energy comes out at -28.16 eV per formula unit.

Record 21
An optimized crystal structure of ScCd12Ag3, computed with PBE-GGA.

The structure belongs to space group P4/mmm (No. 123); the cell edges are 4.357, 4.357 and 17.733 Å and the angles 90.00°, 90.00° and 90.00°. The distinct sites, in fractional coordinates, are Sc at (0.000, 0.000, 0.000), Cd at (0.000, 0.500, 0.129), Cd at (0.000, 0.500, 0.376), Cd at (0.500, 0.500, 0.000), Cd at (0.500, 0.500, 0.254), Cd at (0.500, 0.500, 0.500), Ag at (0.000, 0.000, 0.252) and Ag at (0.000, 0.000, 0.500).

The total energy comes out at -26.93 eV per formula unit.

Record 22
An optimized crystal structure of K2CuHgIr, computed with PBE-GGA.

The structure belongs to space group P4/mmm (No. 123); the cell edges are 5.952, 5.952 and 5.013 Å and the angles 90.00°, 90.00° and 90.00°. The distinct sites, in fractional coordinates, are K at (0.000, 0.500, 0.000), Cu at (0.000, 0.000, 0.000), Hg at (0.000, 0.000, 0.500) and Ir at (0.500, 0.500, 0.500).

The total energy comes out at -10.71 eV per formula unit.

Record 23
An optimized crystal structure of Li3YNi, computed with PBE-GGA.

The structure belongs to space group Pm-3m (No. 221); the cell edges are 4.560, 4.560 and 4.560 Å and the angles 90.00°, 90.00° and 90.00°. The distinct sites, in fractional coordinates, are Li at (0.000, 0.000, 0.500), Y at (0.500, 0.500, 0.500) and Ni at (0.000, 0.000, 0.000).

The total energy comes out at -16.72 eV per formula unit.

Record 24
An optimized crystal structure of CeInGe2, computed with PBE-GGA.

The structure belongs to space group P4/mmm (No. 123); the cell edges are 4.611, 4.611 and 4.151 Å and the angles 90.00°, 90.00° and 90.00°. The distinct sites, in fractional coordinates, are Ce at (0.000, 0.000, 0.000), In at (0.500, 0.500, 0.000) and Ge at (0.000, 0.500, 0.500).

The total energy comes out at -19.84 eV per formula unit.

Record 25
An optimized crystal structure of Li2HfSiNi, computed with PBE-GGA.

The structure belongs to space group P4/mmm (No. 123); the cell edges are 4.299, 4.299 and 4.228 Å and the angles 90.00°, 90.00° and 90.00°. The distinct sites, in fractional coordinates, are Li at (0.000, 0.500, 0.000), Hf at (0.000, 0.000, 0.500), Si at (0.500, 0.500, 0.000) and Ni at (0.500, 0.500, 0.500).

The total energy comes out at -23.68 eV per formula unit. The value obtained for the formation energy without anion corrections is 126 kJ/mol of formula units.